Zn2BiPd | PBE-GGA | relaxed

abc: 7.6354 7.6354 5.6532
angles: 90.00 90.00 90.00
With the nearest neighbours (Å) after each atom.
Fractional coordinates of all 16 atoms:
Zn (0.2111, 0.2500, 0.1250)  2 Pd 2.60, 2 Zn 2.89
Zn (0.2500, 0.7111, 0.3750)  2 Pd 2.60, 2 Zn 2.89
Zn (0.2500, 0.7889, 0.8750)  2 Pd 2.60, 2 Zn 2.89
Zn (0.2889, 0.2500, 0.6250)  2 Pd 2.60, 2 Zn 2.89
Zn (0.7111, 0.7500, 0.6250)  2 Pd 2.60, 2 Zn 2.89
Zn (0.7500, 0.2111, 0.8750)  2 Pd 2.60, 2 Zn 2.89
Zn (0.7500, 0.2889, 0.3750)  2 Pd 2.60, 2 Zn 2.89
Zn (0.7889, 0.7500, 0.1250)  2 Pd 2.60, 2 Zn 2.89
Bi (0.0000, 0.0000, 0.5000)  2 Pd 2.83, 4 Zn 3.00
Bi (0.0000, 0.5000, 0.7500)  2 Pd 2.83, 4 Zn 3.00
Bi (0.5000, 0.0000, 0.2500)  2 Pd 2.83, 4 Zn 3.00
Bi (0.5000, 0.5000, 0.0000)  2 Pd 2.83, 4 Zn 3.00
Pd (0.0000, 0.0000, 0.0000)  4 Zn 2.60, 2 Bi 2.83
Pd (0.0000, 0.5000, 0.2500)  4 Zn 2.60, 2 Bi 2.83
Pd (0.5000, 0.0000, 0.7500)  4 Zn 2.60, 2 Bi 2.83
Pd (0.5000, 0.5000, 0.5000)  4 Zn 2.60, 2 Bi 2.83

Values from the calculation:
* total DFT energy (no corrections): -2.86 eV/atom
* calculated formation energy: 48 meV per atom
* density of states at the Fermi level: 0.491 states/eV per atom



CaCd2AgHg2 | PBE-GGA | relaxed

abc: 4.2913 4.2913 21.6054
angles: 90.00 90.00 90.00
With the nearest neighbours (Å) after each atom.
Fractional coordinates of all 12 atoms:
Ca (0.0000, 0.0000, 0.0000)  4 Ag 3.03, 2 Hg 3.10
Ca (0.5000, 0.5000, 0.5000)  4 Ag 3.03, 2 Hg 3.10
Cd (0.0000, 0.5000, 0.2500)  4 Cd 3.03, 4 Hg 3.15
Cd (0.0000, 0.5000, 0.7500)  4 Cd 3.03, 4 Hg 3.15
Cd (0.5000, 0.0000, 0.2500)  4 Cd 3.03, 4 Hg 3.15
Cd (0.5000, 0.0000, 0.7500)  4 Cd 3.03, 4 Hg 3.15
Ag (0.0000, 0.0000, 0.5000)  4 Ca 3.03
Ag (0.5000, 0.5000, 0.0000)  4 Ca 3.03
Hg (0.0000, 0.0000, 0.1435)  1 Ca 3.10, 4 Cd 3.15
Hg (0.0000, 0.0000, 0.8565)  1 Ca 3.10, 4 Cd 3.15
Hg (0.5000, 0.5000, 0.3565)  1 Ca 3.10, 4 Cd 3.15
Hg (0.5000, 0.5000, 0.6435)  1 Ca 3.10, 4 Cd 3.15

Values from the calculation:
* total DFT energy (no corrections): -1.12 eV/atom
* calculated formation energy: 91 meV per atom
* density of states at the Fermi level: 0.393 states/eV per atom